Entry 1:
Li2NdAu | Alexandria | PBE | relaxed; space-group type = Fm-3m, No. 225; crystal system = cubic; E above lowest polymorph = 163 meV per atom; DFT total energy = -3.20 eV per atom
1.0
-4.701 0.240 -0.924
-2.338 -3.885 -1.564
-3.126 -2.235 2.871
Li Nd Au
2 1 1
Cartesian
-7.624 -4.410 0.287
-2.541 -1.470 0.096
0.000 0.000 0.000
-5.082 -2.940 0.192


Entry 2:
LiNd3Au4 | Alexandria | PBE | relaxed; space-group type = R-3m, No. 166; crystal system = trigonal; E above lowest polymorph = 0 meV per atom; DFT total energy = -4.37 eV per atom
1.0
4.943 0.000 1.459
2.256 4.398 1.459
0.053 0.033 8.922
Nd Au Li
3 4 1
Cartesian
5.384 3.289 9.069
1.869 1.142 2.772
3.626 2.215 5.920
2.775 1.695 8.805
6.301 3.849 5.962
0.952 0.581 5.878
4.478 2.736 3.035
0.000 0.000 0.000


Entry 3:
Li6NdAu2 | Alexandria | PBE | relaxed; space-group type = C2/m, No. 12; crystal system = monoclinic; E above lowest polymorph = 84 meV per atom; DFT total energy = -2.79 eV per atom
1.0
4.171 1.254 1.200
4.257 8.180 2.019
4.257 2.376 8.084
Li Nd Au
6 1 2
Cartesian
6.342 6.937 4.574
6.342 4.873 6.730
5.115 2.844 4.674
5.115 4.794 2.636
7.570 8.967 6.630
7.570 7.016 8.667
4.171 1.254 1.200
9.656 8.618 8.248
3.029 3.193 3.056


Entry 4:
Li7NdAu4 | Alexandria | PBE | relaxed; space-group type = C2/m, No. 12; crystal system = monoclinic; DFT total energy = -2.89 eV per atom
1.0
4.807 0.000 0.000
2.403 6.940 0.654
2.403 0.677 6.617
Li Au Nd
7 4 1
Cartesian
2.403 1.185 2.961
2.403 0.000 0.000
4.807 2.791 1.996
7.210 3.366 4.933
4.807 4.826 5.276
7.210 6.432 4.310
2.403 4.251 2.338
4.807 1.999 4.478
2.403 2.400 0.539
7.210 5.217 6.733
4.807 5.618 2.793
0.000 0.000 0.000


Entry 5:
Li2NdAu | Alexandria | PBE | relaxed; space-group type = R3m, No. 160; crystal system = trigonal; E above lowest polymorph = 45 meV per atom; DFT total energy = -3.32 eV per atom
1.0
4.553 0.000 0.000
2.276 3.943 0.000
2.276 1.314 4.890
Nd Li Au
1 2 1
Cartesian
4.553 2.629 2.508
2.276 1.314 0.633
2.276 1.314 4.772
6.829 3.943 4.310


Entry 6:
Li6NdAu4 | Alexandria | PBE | relaxed; space-group type = P-6m2, No. 187; crystal system = hexagonal; DFT total energy = -3.16 eV per atom
1.0
-0.351 -3.066 -2.567
4.795 -4.103 4.244
-7.477 -0.283 1.360
Li Au Nd
6 4 1
Cartesian
-3.292 -4.176 2.299
-0.921 -2.324 2.901
-2.261 -2.491 0.146
2.049 -2.212 2.361
-5.134 -2.600 0.668
0.983 -3.953 4.587
0.229 -3.160 0.604
-3.387 -1.556 2.321
-0.911 -5.024 2.986
2.267 -4.904 2.408
0.000 0.000 0.000